# 1
The following is a DFT calculation (PBE) of a geometry-optimized Sr2CrSi structure.

```
Sr2CrSi
1.0
4.388 -0.004 0.044
2.197 3.799 0.044
2.114 1.218 8.221
Cr Si Sr
1 1 2
direct
0.542 0.542 0.375 Cr
0.208 0.208 0.375 Si
0.963 0.963 0.110 Sr
0.787 0.787 0.639 Sr
```

E_form (uncorrected) ... -23 meV per atom
Final energy ... -4.625 eV/atom
N(E_F) ... 2.645 states/eV/f.u.

---

# 2
The following is a DFT calculation (PBE) of a geometry-optimized PuPa3Co structure.

```
PuPa3Co
1.0
3.414 0.048 -0.220
1.799 6.477 0.785
-0.649 -0.211 9.587
Pu Pa Co
2 6 2
direct
0.237 0.545 0.651 Pu
0.873 0.302 0.770 Pu
0.238 0.756 0.388 Pa
0.652 0.050 0.594 Pa
0.457 0.796 0.828 Pa
0.873 0.089 0.034 Pa
0.212 0.506 0.068 Pa
0.898 0.340 0.354 Pa
0.508 0.083 0.273 Co
0.603 0.763 0.148 Co
```

Formation energy ... -0.1173 eV per atom
Final energy ... -10.102 eV/atom
N(E_F) ... 9.071 states/eV/f.u.

---

# 3
The following is a DFT calculation (PBE) of a geometry-optimized PPbAu2 structure.

```
PPbAu2
1.0
5.120 0.000 0.000
0.000 5.120 0.000
2.560 2.560 7.624
Pb P Au
2 2 4
direct
0.000 0.000 0.000 Pb
0.750 0.250 0.500 Pb
0.500 0.500 0.000 P
0.250 0.750 0.500 P
0.501 0.125 0.250 Au
0.249 0.625 0.250 Au
0.375 0.499 0.750 Au
0.875 0.751 0.750 Au
```

Formation energy ... 0.0038 eV per atom
Final energy ... -3.914 eV/atom
N(E_F) ... 1.093 states/eV/f.u.

---

# 4
The following is a DFT calculation (PBE) of a geometry-optimized AcLa5Tb2 structure.

```
AcLa5Tb2
1.0
9.046 0.000 0.000
0.000 9.046 0.000
-4.523 -4.523 7.215
Ac La Tb
2 10 4
direct
0.750 0.750 0.500 Ac
0.250 0.250 0.500 Ac
0.487 0.689 0.676 La
0.811 0.013 0.324 La
0.000 0.000 0.000 La
0.500 0.500 0.000 La
0.189 0.987 0.676 La
0.689 0.189 0.676 La
0.987 0.487 0.676 La
0.311 0.811 0.324 La
0.013 0.513 0.324 La
0.513 0.311 0.324 La
0.144 0.356 0.000 Tb
0.644 0.144 0.000 Tb
0.356 0.856 0.000 Tb
0.856 0.644 0.000 Tb
```

Formation energy ... 0.1244 eV per atom
Final energy ... -4.626 eV/atom
N(E_F) ... 13.560 states/eV/f.u.